# 1
# Tb2GaSiPt6 GGA-PBE optimized geometry
data_Tb2GaSiPt6
_chemical_formula_sum 'Tb4 Ga2 Si2 Pt12'
_cell_length_a 5.5515
_cell_length_b 8.6341
_cell_length_c 8.1503
_cell_angle_alpha 90.00
_cell_angle_beta 90.00
_cell_angle_gamma 90.00
_space_group_name_H-M_alt 'P 1'
_space_group_IT_number 1
_space_group_name_Hall 'P 1'
loop_
_atom_site_label
_atom_site_type_symbol
_atom_site_fract_x
_atom_site_fract_y
_atom_site_fract_z
Tb1 Tb 0.2500 0.0041 0.2321
Tb2 Tb 0.2500 0.4959 0.2321
Tb3 Tb 0.7500 0.5041 0.7679
Tb4 Tb 0.7500 0.9959 0.7679
Ga1 Ga 0.2500 0.7500 0.7727
Ga2 Ga 0.7500 0.2500 0.2273
Si1 Si 0.2500 0.2500 0.7448
Si2 Si 0.7500 0.7500 0.2552
Pt1 Pt 0.0007 0.7500 0.0232
Pt2 Pt 0.0006 0.7500 0.5051
Pt3 Pt 0.2500 0.0013 0.6131
Pt4 Pt 0.2500 0.4987 0.6131
Pt5 Pt 0.4993 0.7500 0.0232
Pt6 Pt 0.4994 0.7500 0.5051
Pt7 Pt 0.5006 0.2500 0.4949
Pt8 Pt 0.5007 0.2500 0.9768
Pt9 Pt 0.7500 0.5013 0.3869
Pt10 Pt 0.7500 0.9987 0.3869
Pt11 Pt 0.9994 0.2500 0.4949
Pt12 Pt 0.9993 0.2500 0.9768
# total magnetic moment	0.000	μB/f.u.
# space group	Pmmn (59)

# 2
# Tb2Ga3SiPt4 GGA-PBE optimized geometry
data_Tb2Ga3SiPt4
_chemical_formula_sum 'Tb2 Ga3 Si1 Pt4'
_cell_length_a 4.1652
_cell_length_b 4.1652
_cell_length_c 10.5996
_cell_angle_alpha 90.00
_cell_angle_beta 90.00
_cell_angle_gamma 90.00
_space_group_name_H-M_alt 'P 1'
_space_group_IT_number 1
_space_group_name_Hall 'P 1'
loop_
_atom_site_label
_atom_site_type_symbol
_atom_site_fract_x
_atom_site_fract_y
_atom_site_fract_z
Tb1 Tb 0.0000 0.5000 0.2410
Tb2 Tb 0.5000 0.0000 0.7590
Ga1 Ga 0.0000 0.0000 0.0000
Ga2 Ga 0.0000 0.5000 0.6383
Ga3 Ga 0.5000 0.0000 0.3617
Si1 Si 0.5000 0.5000 0.0000
Pt1 Pt 0.0000 0.0000 0.5000
Pt2 Pt 0.0000 0.5000 0.8711
Pt3 Pt 0.5000 0.0000 0.1289
Pt4 Pt 0.5000 0.5000 0.5000
# total magnetic moment	0.000	μB/f.u.
# space group	P-4m2 (115)

The total DFT energy (no corrections) results, record by record, are as follows: -126.81 -57.75 eV per cell.